Here is crystalline SmHoCd3 at its relaxed geometry from Alexandria. Energies are from PBE.

```
data_SmHoCd3
_chemical_formula_sum 'Sm4 Ho4 Cd12'
_cell_length_a 9.326
_cell_length_b 5.390
_cell_length_c 10.720
_cell_angle_alpha 90.00
_cell_angle_beta 106.70
_cell_angle_gamma 90.00
_symmetry_space_group_name_H-M 'P 1'
_symmetry_Int_Tables_number 1
_symmetry_space_group_name_Hall 'P 1'
loop_
_atom_site_label
_atom_site_fract_x
_atom_site_fract_y
_atom_site_fract_z
Sm1 0.202 0.249 0.176
Sm2 0.202 0.251 0.676
Sm3 0.798 0.749 0.324
Sm4 0.798 0.751 0.824
Ho1 0.207 0.750 0.427
Ho2 0.207 0.750 0.927
Ho3 0.793 0.250 0.073
Ho4 0.793 0.250 0.573
Cd1 0.000 0.249 0.375
Cd2 0.000 0.251 0.875
Cd3 0.000 0.749 0.125
Cd4 0.000 0.751 0.625
Cd5 0.412 0.749 0.228
Cd6 0.412 0.751 0.728
Cd7 0.414 0.250 0.478
Cd8 0.414 0.250 0.978
Cd9 0.586 0.750 0.022
Cd10 0.586 0.750 0.522
Cd11 0.588 0.249 0.272
Cd12 0.588 0.251 0.772
```

For the energy above the most stable polymorph in this dataset, the calculation gives 35 meV/atom. Its total magnetization is 0.00 μB per formula unit. Its total energy is -2.674 eV per atom. The value obtained for the energy of formation is -128 kJ/mol of formula units. Its symmetry is P2_1/c (14).

=====

Here is crystalline SmHo3Cd at its relaxed geometry from Alexandria. Energies are from PBE.

```
data_SmHo3Cd
_chemical_formula_sum 'Sm2 Ho6 Cd2'
_cell_length_a 6.725
_cell_length_b 6.725
_cell_length_c 12.583
_cell_angle_alpha 93.38
_cell_angle_beta 93.38
_cell_angle_gamma 31.61
_symmetry_space_group_name_H-M 'P 1'
_symmetry_Int_Tables_number 1
_symmetry_space_group_name_Hall 'P 1'
loop_
_atom_site_label
_atom_site_fract_x
_atom_site_fract_y
_atom_site_fract_z
Sm1 0.233 0.233 0.254
Sm2 0.767 0.767 0.746
Ho1 0.036 0.036 0.689
Ho2 0.146 0.146 0.948
Ho3 0.366 0.366 0.522
Ho4 0.634 0.634 0.478
Ho5 0.854 0.854 0.052
Ho6 0.964 0.964 0.311
Cd1 0.445 0.445 0.874
Cd2 0.555 0.555 0.126
```

For the energy above the most stable polymorph in this dataset, the calculation gives 0 meV/atom. Its total magnetization is 0.01 μB per formula unit. Its total energy is -3.980 eV per atom. The value obtained for the energy of formation is -51 kJ/mol of formula units. Its symmetry is C2/m (12).

=====

Here is crystalline Sm6HoCd at its relaxed geometry from Alexandria. Energies are from PBE.

```
data_Sm6HoCd
_chemical_formula_sum 'Sm6 Ho1 Cd1'
_cell_length_a 6.399
_cell_length_b 6.400
_cell_length_c 6.402
_cell_angle_alpha 94.90
_cell_angle_beta 94.76
_cell_angle_gamma 94.85
_symmetry_space_group_name_H-M 'P 1'
_symmetry_Int_Tables_number 1
_symmetry_space_group_name_Hall 'P 1'
loop_
_atom_site_label
_atom_site_fract_x
_atom_site_fract_y
_atom_site_fract_z
Sm1 0.044 0.048 0.259
Sm2 0.241 0.457 0.951
Sm3 0.452 0.741 0.456
Sm4 0.548 0.259 0.544
Sm5 0.759 0.543 0.049
Sm6 0.956 0.952 0.741
Ho1 0.500 0.000 0.000
Cd1 0.000 0.500 0.500
```

For the energy above the most stable polymorph in this dataset, the calculation gives 76 meV/atom. Its total magnetization is 0.00 μB per formula unit. Its total energy is -4.187 eV per atom. The value obtained for the energy of formation is 30 kJ/mol of formula units. Its symmetry is P-1 (2).

=====

Here is crystalline Sm3Ho4Cd4 at its relaxed geometry from Alexandria. Energies are from PBE.

```
data_Sm3Ho4Cd4
_chemical_formula_sum 'Sm3 Ho4 Cd4'
_cell_length_a 9.582
_cell_length_b 9.582
_cell_length_c 9.582
_cell_angle_alpha 147.79
_cell_angle_beta 136.02
_cell_angle_gamma 55.54
_symmetry_space_group_name_H-M 'P 1'
_symmetry_Int_Tables_number 1
_symmetry_space_group_name_Hall 'P 1'
loop_
_atom_site_label
_atom_site_fract_x
_atom_site_fract_y
_atom_site_fract_z
Sm1 0.000 0.000 0.000
Sm2 0.395 0.895 0.500
Sm3 0.605 0.105 0.500
Ho1 0.053 0.319 0.734
Ho2 0.415 0.681 0.734
Ho3 0.585 0.319 0.266
Ho4 0.947 0.681 0.266
Cd1 0.182 0.182 0.000
Cd2 0.297 0.500 0.797
Cd3 0.703 0.500 0.203
Cd4 0.818 0.818 0.000
```

Its total magnetization is 0.00 μB per formula unit. Its total energy is -3.393 eV per atom. The value obtained for the energy of formation is -115 kJ/mol of formula units. Its symmetry is Immm (71).

=====

Here is crystalline SmHoCdSn at its relaxed geometry from Alexandria. Energies are from PBE.

```
data_SmHoCdSn
_chemical_formula_sum 'Sm1 Ho1 Cd1 Sn1'
_cell_length_a 5.324
_cell_length_b 5.324
_cell_length_c 5.324
_cell_angle_alpha 60.00
_cell_angle_beta 60.00
_cell_angle_gamma 60.00
_symmetry_space_group_name_H-M 'P 1'
_symmetry_Int_Tables_number 1
_symmetry_space_group_name_Hall 'P 1'
loop_
_atom_site_label
_atom_site_fract_x
_atom_site_fract_y
_atom_site_fract_z
Sm1 0.000 0.000 0.000
Ho1 0.500 0.500 0.500
Cd1 0.750 0.750 0.750
Sn1 0.250 0.250 0.250
```

Its total magnetization is 0.00 μB per formula unit. Its total energy is -4.057 eV per atom. The value obtained for the energy of formation is -194 kJ/mol of formula units. Its symmetry is F-43m (216).

=====

Here is crystalline TbSmHoCd at its relaxed geometry from Alexandria. Energies are from PBE.

```
data_TbSmHoCd
_chemical_formula_sum 'Tb1 Sm1 Ho1 Cd1'
_cell_length_a 5.475
_cell_length_b 5.475
_cell_length_c 5.475
_cell_angle_alpha 60.00
_cell_angle_beta 60.00
_cell_angle_gamma 60.00
_symmetry_space_group_name_H-M 'P 1'
_symmetry_Int_Tables_number 1
_symmetry_space_group_name_Hall 'P 1'
loop_
_atom_site_label
_atom_site_fract_x
_atom_site_fract_y
_atom_site_fract_z
Tb1 0.000 0.000 0.000
Sm1 0.500 0.500 0.500
Ho1 0.250 0.250 0.250
Cd1 0.750 0.750 0.750
```

For the energy above the most stable polymorph in this dataset, the calculation gives 120 meV/atom. Its total magnetization is 0.00 μB per formula unit. Its total energy is -3.740 eV per atom. The value obtained for the energy of formation is -11 kJ/mol of formula units. Its symmetry is F-43m (216).

=====

Here is crystalline TbSmHoCd at its relaxed geometry from Alexandria. Energies are from PBE.

```
data_TbSmHoCd
_chemical_formula_sum 'Tb1 Sm1 Ho1 Cd1'
_cell_length_a 3.609
_cell_length_b 3.609
_cell_length_c 9.051
_cell_angle_alpha 90.00
_cell_angle_beta 90.00
_cell_angle_gamma 90.00
_symmetry_space_group_name_H-M 'P 1'
_symmetry_Int_Tables_number 1
_symmetry_space_group_name_Hall 'P 1'
loop_
_atom_site_label
_atom_site_fract_x
_atom_site_fract_y
_atom_site_fract_z
Tb1 0.000 0.000 0.000
Sm1 0.500 0.500 0.277
Ho1 0.000 0.000 0.552
Cd1 0.500 0.500 0.773
```

For the energy above the most stable polymorph in this dataset, the calculation gives 0 meV/atom. Its total magnetization is 0.00 μB per formula unit. Its total energy is -3.860 eV per atom. The value obtained for the energy of formation is -58 kJ/mol of formula units. Its symmetry is P4mm (99).

=====

Here is crystalline SmHoCdTc at its relaxed geometry from Alexandria. Energies are from PBE.

```
data_SmHoCdTc
_chemical_formula_sum 'Sm1 Ho1 Cd1 Tc1'
_cell_length_a 5.079
_cell_length_b 5.079
_cell_length_c 5.079
_cell_angle_alpha 60.00
_cell_angle_beta 60.00
_cell_angle_gamma 60.00
_symmetry_space_group_name_H-M 'P 1'
_symmetry_Int_Tables_number 1
_symmetry_space_group_name_Hall 'P 1'
loop_
_atom_site_label
_atom_site_fract_x
_atom_site_fract_y
_atom_site_fract_z
Sm1 0.000 0.000 0.000
Ho1 0.500 0.500 0.500
Cd1 0.750 0.750 0.750
Tc1 0.250 0.250 0.250
```

Its total magnetization is 0.00 μB per formula unit. Its total energy is -5.206 eV per atom. The value obtained for the energy of formation is -24 kJ/mol of formula units. Its symmetry is F-43m (216).

=====

Here is crystalline SmHoThCd at its relaxed geometry from Alexandria. Energies are from PBE.

```
data_SmHoThCd
_chemical_formula_sum 'Sm1 Ho1 Th1 Cd1'
_cell_length_a 3.624
_cell_length_b 3.624
_cell_length_c 8.910
_cell_angle_alpha 90.00
_cell_angle_beta 90.00
_cell_angle_gamma 90.00
_symmetry_space_group_name_H-M 'P 1'
_symmetry_Int_Tables_number 1
_symmetry_space_group_name_Hall 'P 1'
loop_
_atom_site_label
_atom_site_fract_x
_atom_site_fract_y
_atom_site_fract_z
Sm1 0.000 0.000 0.000
Ho1 0.000 0.000 0.463
Th1 0.500 0.500 0.728
Cd1 0.500 0.500 0.240
```

For the energy above the most stable polymorph in this dataset, the calculation gives 0 meV/atom. Its total magnetization is 0.00 μB per formula unit. Its total energy is -4.573 eV per atom. The value obtained for the energy of formation is -64 kJ/mol of formula units. Its symmetry is P4mm (99).

=====

Here is crystalline SmHoThCd at its relaxed geometry from Alexandria. Energies are from PBE.

```
data_SmHoThCd
_chemical_formula_sum 'Sm1 Ho1 Th1 Cd1'
_cell_length_a 5.493
_cell_length_b 5.493
_cell_length_c 5.493
_cell_angle_alpha 60.00
_cell_angle_beta 60.00
_cell_angle_gamma 60.00
_symmetry_space_group_name_H-M 'P 1'
_symmetry_Int_Tables_number 1
_symmetry_space_group_name_Hall 'P 1'
loop_
_atom_site_label
_atom_site_fract_x
_atom_site_fract_y
_atom_site_fract_z
Sm1 0.000 0.000 0.000
Ho1 0.500 0.500 0.500
Th1 0.250 0.250 0.250
Cd1 0.750 0.750 0.750
```

For the energy above the most stable polymorph in this dataset, the calculation gives 261 meV/atom. Its total magnetization is 0.02 μB per formula unit. Its total energy is -4.312 eV per atom. The value obtained for the energy of formation is 37 kJ/mol of formula units. Its symmetry is F-43m (216).